Below is crystalline HgTePbN2 at its relaxed geometry, with properties calculated at the PBE level.

The structure in POSCAR format:
```
HgTePbN2
1.0
4.437 0.000 0.000
0.000 4.437 0.000
0.000 0.000 6.520
Pb Te Hg N
1 1 1 2
Direct
0.000 0.000 0.000
0.000 0.000 0.500
0.500 0.500 0.500
0.000 0.500 0.000
0.500 0.000 0.000
```

For the distance to the lowest polymorph of the same formula, the calculation gives 0.000 eV/atom. The value obtained for the total energy is -3.26 eV per atom. For the volume, the calculation gives 25.67 Å³ per atom. The value obtained for the uncorrected formation energy is 1499 meV per atom.

Below is crystalline HgTePbN2 at its relaxed geometry, with properties calculated at the PBE level.

The structure in POSCAR format:
```
HgTePbN2
1.0
-1.472 2.941 3.111
-4.241 -0.553 -1.484
-0.774 -4.502 3.889
Pb Te Hg N
1 1 1 2
Direct
0.500 0.500 0.500
0.000 0.000 0.500
0.000 0.000 0.000
0.000 0.500 0.000
0.500 0.000 0.000
```

For the distance to the lowest polymorph of the same formula, the calculation gives 0.114 eV/atom. The value obtained for the total energy is -3.15 eV per atom. For the volume, the calculation gives 24.59 Å³ per atom. The value obtained for the uncorrected formation energy is 1613 meV per atom.